DFT (GGA-PBE) results for a geometry-optimized Hf2ZrCd2 structure.

Formation energy from the elements, eV/f.u.: 1.657
Size of the total moment, Bohr magnetons per cell: 0.0
Final energy, eV/cell: -57.18

Lattice parameters (Å, degrees): 4.162 4.162 13.141 90.00 90.00 90.00
Space group I4/mmm (No. 139)
Inequivalent atoms, fractional coordinates:
Hf 0.000 0.500 0.250 [4 per cell]
Zr 0.000 0.000 0.000 [2 per cell]
Cd 0.000 0.000 0.402 [4 per cell]